A relaxed structure of GdDyC2. Source: Alexandria via LeMat-Bulk, functional GGA-PBE.

```
GdDyC2
1.0
1.8090 1.0444 5.9034
-1.8090 1.0444 5.9034
0.0000 -2.0889 5.9034
Gd Dy C
1 1 2
Cartesian
0.0000 0.0000 0.0000
0.0000 0.0000 8.8551
0.0000 0.0000 4.4255
0.0000 0.0000 13.2846
```

Results
Fermi-level density of states = 1.147 states/eV/atom
ρ = 8.5 g/cm³
ΔE_f = 0.08 eV/atom